# InHg

An optimized crystal structure of InHg (PBE, Alexandria).

a b c (Å): 3.9164 3.9164 6.9242
angles (deg): 90.00 90.00 90.00
Closest atoms and distances in Å follow each position.
Fractional coordinates of all 4 atoms:
1 Hg 0.0000 0.0000 0.0009  6 In 3.24-3.53, 4 Hg 3.26
2 Hg 0.5000 0.5000 0.2491  6 In 3.24-3.53, 4 Hg 3.26
3 In 0.0000 0.0000 0.4914  6 Hg 3.24-3.53, 4 In 3.33
4 In 0.5000 0.5000 0.7586  6 Hg 3.24-3.53, 4 In 3.33

Results
* ΔH_f (0 K): 0.022 eV per atom
* SG: P4/nmm, No. 129
* volume: 26.6 Å³/atom
* spin magnetization: 0.0 Bohr magnetons per cell